Below is a relaxed TlCr2AgF crystal, with properties calculated at the PBE+U level.

Cell: 5.489 5.489 4.638 Å, 90.00 90.00 90.00°
Fractional coordinates of all 5 atoms:
Tl 0.000 0.000 0.000
Cr 0.000 0.500 0.000
Cr 0.500 0.000 0.000
Ag 0.500 0.500 0.500
F 0.000 0.000 0.500

Values from the calculation:
Uncorrected energy in eV/atom: -4.031
Symmetry: P4/mmm